Record 1
# CeYLuAl, relaxed, DFT PBE-GGA
data_CeYLuAl
_space_group_name_H-M_alt 'F -4 3 m'
_space_group_IT_number 216
_space_group_name_Hall 'F -4 2 3'
_cell_length_a 7.510
_cell_length_b 7.510
_cell_length_c 7.510
_cell_angle_alpha 90.00
_cell_angle_beta 90.00
_cell_angle_gamma 90.00
loop_
_atom_site_label
_atom_site_fract_x
_atom_site_fract_y
_atom_site_fract_z
Ce1 0.000 0.000 0.000
Y1 0.000 0.000 0.500
Lu1 0.250 0.250 0.750
Al1 0.250 0.250 0.250
# **Energy of formation**: -0.060 eV per atom
# **Mass density**: 6.76 Mg/m³
# **Total moment**: 1.79 μB per cell

---

Record 2
# CaTbCdCu, relaxed, DFT PBE-GGA
data_CaTbCdCu
_space_group_name_H-M_alt 'F -4 3 m'
_space_group_IT_number 216
_space_group_name_Hall 'F -4 2 3'
_cell_length_a 7.317
_cell_length_b 7.317
_cell_length_c 7.317
_cell_angle_alpha 90.00
_cell_angle_beta 90.00
_cell_angle_gamma 90.00
loop_
_atom_site_label
_atom_site_fract_x
_atom_site_fract_y
_atom_site_fract_z
Ca1 0.000 0.000 0.000
Tb1 0.000 0.000 0.500
Cd1 0.250 0.250 0.750
Cu1 0.250 0.250 0.250
# **Energy of formation**: -0.187 eV per atom
# **Mass density**: 6.36 Mg/m³
# **Total moment**: 0.00 μB per cell

---

Record 3
# Zr2Cr2C3, relaxed, DFT PBE-GGA
data_Zr2Cr2C3
_space_group_name_H-M_alt 'C 1 2/m 1'
_space_group_IT_number 12
_space_group_name_Hall '-C 2y'
_cell_length_a 10.909
_cell_length_b 3.140
_cell_length_c 5.283
_cell_angle_alpha 90.00
_cell_angle_beta 111.33
_cell_angle_gamma 90.00
loop_
_atom_site_label
_atom_site_fract_x
_atom_site_fract_y
_atom_site_fract_z
Zr1 0.109 0.000 0.330
Cr1 0.157 0.500 0.832
C1 0.000 0.500 0.500
C2 0.245 0.500 0.232
# **Energy of formation**: -0.503 eV per atom
# **Mass density**: 6.35 Mg/m³
# **Total moment**: 0.01 μB per cell

---

Record 4
# BaLaZr2, relaxed, DFT PBE-GGA
data_BaLaZr2
_space_group_name_H-M_alt 'F m -3 m'
_space_group_IT_number 225
_space_group_name_Hall '-F 4 2 3'
_cell_length_a 7.862
_cell_length_b 7.862
_cell_length_c 7.862
_cell_angle_alpha 90.00
_cell_angle_beta 90.00
_cell_angle_gamma 90.00
loop_
_atom_site_label
_atom_site_fract_x
_atom_site_fract_y
_atom_site_fract_z
Ba1 0.000 0.000 0.000
La1 0.000 0.000 0.500
Zr1 0.250 0.250 0.250
# **Energy of formation**: 0.621 eV per atom
# **Mass density**: 6.27 Mg/m³
# **Total moment**: 0.00 μB per cell

---

Record 5
# HoErPuAl, relaxed, DFT PBE-GGA
data_HoErPuAl
_space_group_name_H-M_alt 'F -4 3 m'
_space_group_IT_number 216
_space_group_name_Hall 'F -4 2 3'
_cell_length_a 7.460
_cell_length_b 7.460
_cell_length_c 7.460
_cell_angle_alpha 90.00
_cell_angle_beta 90.00
_cell_angle_gamma 90.00
loop_
_atom_site_label
_atom_site_fract_x
_atom_site_fract_y
_atom_site_fract_z
Ho1 0.000 0.000 0.000
Er1 0.250 0.250 0.250
Pu1 0.000 0.000 0.500
Al1 0.250 0.250 0.750
# **Energy of formation**: 0.018 eV per atom
# **Mass density**: 9.65 Mg/m³
# **Total moment**: 25.34 μB per cell

---

Record 6
# SnHg2B, relaxed, DFT PBE-GGA
data_SnHg2B
_space_group_name_H-M_alt 'F m -3 m'
_space_group_IT_number 225
_space_group_name_Hall '-F 4 2 3'
_cell_length_a 7.054
_cell_length_b 7.054
_cell_length_c 7.054
_cell_angle_alpha 90.00
_cell_angle_beta 90.00
_cell_angle_gamma 90.00
loop_
_atom_site_label
_atom_site_fract_x
_atom_site_fract_y
_atom_site_fract_z
Sn1 0.000 0.000 0.000
Hg1 0.250 0.250 0.250
B1 0.000 0.000 0.500
# **Energy of formation**: 1.029 eV per atom
# **Mass density**: 10.04 Mg/m³
# **Total moment**: 0.00 μB per cell

---

Record 7
# HfMgTa3, relaxed, DFT PBE-GGA
data_HfMgTa3
_space_group_name_H-M_alt 'P m -3 m'
_space_group_IT_number 221
_space_group_name_Hall '-P 4 2 3'
_cell_length_a 4.949
_cell_length_b 4.949
_cell_length_c 4.949
_cell_angle_alpha 90.00
_cell_angle_beta 90.00
_cell_angle_gamma 90.00
loop_
_atom_site_label
_atom_site_fract_x
_atom_site_fract_y
_atom_site_fract_z
Hf1 0.000 0.000 0.000
Mg1 0.500 0.500 0.500
Ta1 0.000 0.000 0.500
# **Energy of formation**: 1.742 eV per atom
# **Mass density**: 10.22 Mg/m³
# **Total moment**: 0.00 μB per cell

---

Record 8
# YAgB2, relaxed, DFT PBE-GGA
data_YAgB2
_space_group_name_H-M_alt 'I 41/a m d'
_space_group_IT_number 141
_cell_length_a 4.106
_cell_length_b 4.106
_cell_length_c 15.062
_cell_angle_alpha 90.00
_cell_angle_beta 90.00
_cell_angle_gamma 90.00
loop_
_space_group_symop_operation_xyz
'x,y,z'
'-x,-y,-z'
'-y+1/4,x+3/4,z+1/4'
'y+1/4,-x+3/4,-z+1/4'
'-x+1/2,-y,z+1/2'
'x+1/2,y,-z+1/2'
'y+1/4,-x+1/4,z+3/4'
'-y+1/4,x+1/4,-z+3/4'
'x,-y,-z'
'-x,y,z'
'-y+1/4,-x+1/4,-z+3/4'
'y+1/4,x+1/4,z+3/4'
'-x+1/2,y,-z+1/2'
'x+1/2,-y,z+1/2'
'y+1/4,x+3/4,-z+1/4'
'-y+1/4,-x+3/4,z+1/4'
'x+1/2,y+1/2,z+1/2'
'-x+1/2,-y+1/2,-z+1/2'
'-y+3/4,x+1/4,z+3/4'
'y+3/4,-x+1/4,-z+3/4'
'-x,-y+1/2,z'
'x,y+1/2,-z'
'y+3/4,-x+3/4,z+1/4'
'-y+3/4,x+3/4,-z+1/4'
'x+1/2,-y+1/2,-z+1/2'
'-x+1/2,y+1/2,z+1/2'
'-y+3/4,-x+3/4,-z+1/4'
'y+3/4,x+3/4,z+1/4'
'-x,y+1/2,-z'
'x,-y+1/2,z'
'y+3/4,x+1/4,-z+3/4'
'-y+3/4,-x+1/4,z+3/4'
loop_
_atom_site_label
_atom_site_fract_x
_atom_site_fract_y
_atom_site_fract_z
Y1 0.000 0.250 0.375
Ag1 0.000 0.250 0.875
B1 0.000 0.000 0.000
# **Energy of formation**: 0.416 eV per atom
# **Mass density**: 5.71 Mg/m³
# **Total moment**: 0.00 μB per cell